(1)
The following is a DFT calculation (PBE) of a geometry-optimized PrHo5TlIn2 structure.

Lattice parameters (Å, degrees): 9.326 9.326 9.326 125.40 125.40 80.88
Fractional coordinates of all 18 atoms:
Pr: 0.250 0.750 0.500
Pr: 0.750 0.250 0.500
Ho: 0.000 0.000 0.000
Ho: 0.074 0.574 0.914
Ho: 0.160 0.074 0.500
Ho: 0.340 0.840 0.914
Ho: 0.426 0.340 0.500
Ho: 0.500 0.500 0.000
Ho: 0.574 0.660 0.500
Ho: 0.660 0.160 0.086
Ho: 0.840 0.926 0.500
Ho: 0.926 0.426 0.086
Tl: 0.250 0.250 0.000
Tl: 0.750 0.750 0.000
In: 0.111 0.389 0.500
In: 0.389 0.889 0.278
In: 0.611 0.111 0.722
In: 0.889 0.611 0.500

Output
DFT total energy: -3.999 eV per atom
total magnetic moment: 0.0 μB per cell
space group: I4/mcm (140)
crystal system: tetragonal
E_form: -0.48 eV per formula unit

***

(2)
The following is a DFT calculation (PBE) of a geometry-optimized Pr6Ho2Tm3In structure.

Lattice parameters (Å, degrees): 6.218 6.218 11.811 95.07 95.07 120.11
Fractional coordinates of all 12 atoms:
Pr: 0.083 0.411 0.749
Pr: 0.244 0.244 0.250
Pr: 0.411 0.083 0.749
Pr: 0.589 0.917 0.251
Pr: 0.756 0.756 0.750
Pr: 0.917 0.589 0.251
Ho: 0.333 0.667 0.500
Ho: 0.667 0.333 0.500
Tm: 0.168 0.832 0.000
Tm: 0.500 0.500 0.000
Tm: 0.832 0.168 0.000
In: 0.000 0.000 0.500

Output
DFT total energy: -4.527 eV per atom
total magnetic moment: 0.0 μB per cell
space group: C2/m (12)
crystal system: monoclinic
E_form: -0.33 eV per formula unit